Entry 1:
La2CeTlTc: relaxed, PBE.

Values from the calculation:
Total magnetization = 0.17 μB per cell
DFT total energy = -5.854 eV per atom
ΔE_f = -72 kJ/mol of formula units
Theoretical density = 7.42 g/cm³
Space-group type = No. 99

Lattice parameters (Å, degrees): 5.541 5.541 5.253 90.00 90.00 90.00
Each line ends with the local moment (μB).
Sites, in units of the cell vectors:
La: 0.000 0.500 0.983  0.00
La: 0.500 0.000 0.983  0.00
Ce: 0.000 0.000 0.485  0.17
Tl: 0.500 0.500 0.503  0.00
Tc: 0.000 0.000 0.045  -0.02

=====

Entry 2:
AuC2Cl: relaxed, PBE.

Values from the calculation:
Total magnetization = 0.00 μB per cell
Raw formation energy = 2.2248 eV per atom
ΔE to the lowest computed polymorph = 0 meV per atom
DFT total energy = -3.668 eV per atom
Theoretical density = 6.18 g/cm³
Space-group type = No. 122

Lattice parameters (Å, degrees): 5.205 5.205 6.281 65.52 65.52 90.00
Sites, in units of the cell vectors:
C: 0.693 0.125 0.250
C: 0.057 0.625 0.250
C: 0.375 0.307 0.750
C: 0.875 0.943 0.750
Au: 0.000 0.000 0.000
Au: 0.750 0.250 0.500
Cl: 0.500 0.500 0.000
Cl: 0.250 0.750 0.500

=====

Entry 3:
Pr2AgPbO5: relaxed, PBE.

Values from the calculation:
Total magnetization = 1.65 μB per cell
Raw formation energy = -1.7792 eV per atom
DFT total energy = -6.325 eV per atom
Theoretical density = 7.33 g/cm³
Space-group type = No. 127

Lattice parameters (Å, degrees): 6.444 6.897 6.897 90.00 90.00 90.00
Each line ends with the local moment (μB).
Sites, in units of the cell vectors:
Pr: 0.500 0.675 0.175  0.02
Pr: 0.500 0.175 0.325  0.02
Pr: 0.500 0.825 0.675  0.02
Pr: 0.500 0.325 0.825  0.02
Ag: 0.000 0.500 0.500  0.01
Ag: 0.000 0.000 0.000  0.01
Pb: 0.000 0.000 0.500  0.14
Pb: 0.000 0.500 0.000  0.14
O: 0.500 0.500 0.500  0.04
O: 0.500 0.000 0.000  0.04
O: 0.268 0.142 0.642  0.12
O: 0.268 0.858 0.358  0.12
O: 0.268 0.358 0.142  0.12
O: 0.268 0.642 0.858  0.12
O: 0.732 0.142 0.642  0.12
O: 0.732 0.642 0.858  0.12
O: 0.732 0.858 0.358  0.12
O: 0.732 0.358 0.142  0.12